No. 1
Sm3ScAl8 (GGA-PBE, relaxed); formation energy = -0.48 eV per atom; E above lowest polymorph = 0.10 eV per formula unit; space group = No. 156
1.0
-1.599 -5.330 -0.058
3.695 1.756 3.773
-6.827 1.985 5.764
Sm Sc Al
3 1 8
Direct
0.667 0.333 0.435
0.667 0.333 0.070
0.000 0.000 0.930
0.000 0.000 0.569
0.333 0.667 0.501
0.333 0.667 0.997
0.504 0.008 0.745
0.504 0.496 0.745
0.992 0.496 0.745
0.162 0.324 0.254
0.162 0.838 0.254
0.676 0.838 0.254

No. 2
Sm2ScAl2 (GGA-PBE, relaxed); formation energy = -0.30 eV per atom; space group = No. 71
1.0
4.730 0.000 0.000
2.365 5.301 -0.041
2.365 1.380 5.119
Sm Sc Al
2 1 2
Direct
0.197 0.303 0.303
0.803 0.697 0.697
0.000 0.000 0.000
0.500 0.291 0.709
0.500 0.709 0.291

No. 3
Sm12ScAl3 (GGA-PBE, relaxed); formation energy = -0.11 eV per atom; space group = No. 123
1.0
-4.204 2.416 0.419
-2.306 -4.178 0.959
3.383 2.550 19.251
Sm Sc Al
12 1 3
Direct
0.500 0.500 0.000
0.500 0.500 0.254
0.500 0.500 0.500
0.500 0.500 0.746
0.500 0.000 0.131
0.500 0.000 0.377
0.500 0.000 0.623
0.500 0.000 0.869
0.000 0.500 0.131
0.000 0.500 0.377
0.000 0.500 0.623
0.000 0.500 0.869
0.000 0.000 0.000
0.000 0.000 0.256
0.000 0.000 0.500
0.000 0.000 0.744

No. 4
SmSc3Al8 (GGA-PBE, relaxed); formation energy = -0.48 eV per atom; E above lowest polymorph = 0.00 eV per formula unit; space group = No. 160
1.0
-4.352 3.140 0.785
-3.936 0.161 -3.728
-6.907 -5.664 3.103
Sm Sc Al
1 3 8
Direct
0.875 0.875 0.376
0.376 0.376 0.873
0.001 0.001 0.997
0.498 0.498 0.507
0.941 0.439 0.181
0.434 0.937 0.692
0.439 0.439 0.181
0.937 0.937 0.692
0.187 0.187 0.439
0.688 0.688 0.936
0.439 0.941 0.181
0.937 0.434 0.692

Results for calculated volume: 245; 129; 467; 227 (in Å³ per cell, following the order of the records).
Results for calculated total energy: -4.69; -4.95; -4.75; -4.95 (in eV/atom, following the order of the records).